# 1
Crystalline Li2NbAl2 at its relaxed geometry, computed with PBE.

Lattice parameters (Å, degrees): 7.5066 7.5066 2.7487 90.00 90.00 90.00
Space group P4/mbm (No. 127)
Symmetry-distinct sites (fractional):
Li1 0.1604 0.3396 0.0000 x4
Nb1 0.0000 0.0000 0.5000 x2
Al1 0.1381 0.6381 0.5000 x4

Fermi-level density of states   6.1 states/eV per cell
Energy above the most stable polymorph in this dataset   100 meV/atom
Calculated formation energy   3.8 kJ/mol of atoms


# 2
Crystalline Tl5Re3 at its relaxed geometry, computed with PBE.

Lattice parameters (Å, degrees): 5.6604 7.9521 8.4933 87.85 84.18 83.42
Space group P-1 (No. 2)
Symmetry-distinct sites (fractional):
Tl1 0.0180 0.4094 0.3063 x2
Tl2 0.2191 0.7694 0.2694 x2
Tl3 0.2747 0.3643 0.9373 x2
Tl4 0.3579 0.1876 0.5151 x2
Tl5 0.4271 0.9052 0.8512 x2
Re1 0.0870 0.0700 0.1105 x2
Re2 0.0994 0.9216 0.6144 x2
Re3 0.4915 0.5197 0.6354 x2

Fermi-level density of states   7.7 states/eV per cell
Energy above the most stable polymorph in this dataset   0 meV/atom
Calculated formation energy   75.3 kJ/mol of atoms


# 3
Crystalline LaSiAu at its relaxed geometry, computed with PBE.

Lattice parameters (Å, degrees): 4.4269 5.8831 6.1406 99.31 91.47 111.95
Space group P-1 (No. 2)
Symmetry-distinct sites (fractional):
La1 0.1274 0.2358 0.2849 x2
Si1 0.1828 0.3807 0.7940 x2
Au1 0.3982 0.7884 0.1165 x2

Fermi-level density of states   3.2 states/eV per cell
Energy relative to the elements, uncorrected   -0.682 eV/atom


# 4
Crystalline BaVZn at its relaxed geometry, computed with PBE.

Lattice parameters (Å, degrees): 4.4236 6.8331 12.0328 90.00 90.00 90.00
Space group Immm (No. 71)
Symmetry-distinct sites (fractional):
Ba1 0.0000 0.0000 0.1728 x4
V1 0.0000 0.1354 0.5000 x4
Zn1 0.0000 0.5000 0.1064 x4

Fermi-level density of states   10.2 states/eV per cell
Energy above the most stable polymorph in this dataset   10 meV/atom
Calculated formation energy   28.7 kJ/mol of atoms